No. 1
Below is a geometry-optimized LiCd2Cu structure, with properties calculated at the GGA-PBE level.

Summary:
Crystal system: monoclinic
Raw total energy (eV/atom): -2.046

Cell: 9.957 3.137 4.681 Å, 90.00 110.09 90.00°
Space group Cm (No. 8)
Symmetry-distinct sites (fractional):
Li1 0.000 0.000 0.000 [2 per cell]
Cd1 0.240 0.000 0.790 [2 per cell]
Cd2 0.469 0.000 0.466 [2 per cell]
Cu1 0.227 0.500 0.279 [2 per cell]

---

No. 2
Below is a geometry-optimized LiCd4Cu structure, with properties calculated at the GGA-PBE level.

Summary:
Crystal system: orthorhombic
Energy relative to the lowest polymorph listed for this composition (meV/atom): 108

Cell: 6.687 6.260 6.259 Å, 90.00 90.00 90.00°
Space group Amm2 (No. 38)
Symmetry-distinct sites (fractional):
Li1 0.000 0.000 0.000 [2 per cell]
Cd1 0.258 0.250 0.249 [8 per cell]
Cu1 0.500 0.000 0.499 [2 per cell]

---

no.,density of states at the Fermi level (states/eV per cell)
1,1.6
2,5.6